--- a ---
Ca2TaP: optimized geometry, PBE-GGA.

Cell: 3.444 3.444 8.483 Å, 90.00 90.00 90.00°
Element x y z (fractional)
1 Ca 0.500 0.500 0.317
2 Ta 0.500 0.500 0.670
3 P 0.000 0.000 0.579
4 Ca 0.000 0.000 0.934

Results
- space-group type = No. 99

=====

--- b ---
Ca2TaP: optimized geometry, PBE-GGA.

Cell: 5.713 5.713 5.713 Å, 135.45 135.45 64.84°
Element x y z (fractional)
1 Ca 0.250 0.750 0.500
2 Ca 0.000 0.000 0.000
3 Ta 0.750 0.250 0.500
4 P 0.500 0.500 0.000

Results
- space-group type = No. 119

=====

--- c ---
Ca2TaP: optimized geometry, PBE-GGA.

Cell: 8.847 8.847 3.645 Å, 78.09 78.09 22.53°
Element x y z (fractional)
1 Ca 0.594 0.594 0.407
2 P 0.250 0.250 0.250
3 Ca 0.906 0.906 0.093
4 Ta 0.750 0.750 0.750

Results
- space-group type = No. 71

=====

--- d ---
Ca2TaP: optimized geometry, PBE-GGA.

Cell: 10.042 10.042 7.494 Å, 47.93 47.93 90.00°
Element x y z (fractional)
1 Ta 0.750 0.250 0.500
2 Ta 0.000 0.000 0.000
3 Ca 0.875 0.738 0.750
4 P 0.500 0.500 0.000
5 Ca 0.375 0.512 0.750
6 P 0.250 0.750 0.500
7 Ca 0.488 0.125 0.250
8 Ca 0.262 0.625 0.250

Results
- space-group type = No. 122

=====

Which of them is most stable? Easy: a.

=====

--- a ---
Ca2TaP: optimized geometry, PBE-GGA.

Cell: 4.885 4.885 4.885 Å, 60.00 60.00 60.00°
Element x y z (fractional)
1 Ta 0.750 0.750 0.750
2 P 0.500 0.500 0.500
3 Ca 0.250 0.250 0.250
4 Ca 0.000 0.000 0.000

Results
- space-group type = No. 216

=====

--- b ---
Ca2TaP: optimized geometry, PBE-GGA.

Cell: 5.104 5.104 5.104 Å, 60.00 60.00 60.00°
Element x y z (fractional)
1 P 0.000 0.000 0.000
2 Ta 0.500 0.500 0.500
3 Ca 0.250 0.250 0.250
4 Ca 0.750 0.750 0.750

Results
- space-group type = No. 225

=====

Which of them is most stable? Easy: a.

=====

--- a ---
CaTaP2: optimized geometry, PBE-GGA.

Cell: 3.670 3.670 6.955 Å, 74.72 74.72 59.99°
Element x y z (fractional)
1 P 0.489 0.489 0.532
2 Ta 0.750 0.750 0.750
3 P 0.011 0.011 0.968
4 Ca 0.250 0.250 0.250

Results
- space-group type = No. 166

=====

--- b ---
CaTaP2: optimized geometry, PBE-GGA.

Cell: 7.154 7.154 7.154 Å, 152.94 151.60 39.63°
Element x y z (fractional)
1 Ca 0.295 0.795 0.500
2 Ta 0.548 0.548 0.000
3 P 0.683 0.183 0.500
4 P 0.974 0.974 0.000

Results
- space-group type = No. 44

=====

--- c ---
CaTaP2: optimized geometry, PBE-GGA.

Cell: 3.198 3.223 7.594 Å, 65.19 90.00 90.00°
Element x y z (fractional)
1 P 0.000 0.954 0.045
2 Ta 0.500 0.250 0.250
3 Ca 0.500 0.750 0.750
4 P 0.000 0.546 0.455

Results
- space-group type = No. 10

=====

Which of them is most stable? Easy: a.